Here is K4SiPb after structural relaxation from Alexandria via LeMat-Bulk. Energies are from GGA-PBE.

```
6
Lattice="0.000 4.910 4.910 4.910 0.000 4.910 4.910 4.910 0.000" Properties=species:S:1:pos:R:3 pbc="T T T"
K 3.688 3.688 3.688
K 6.132 6.132 3.688
K 6.132 3.688 6.132
K 3.688 6.132 6.132
Si 7.365 7.365 7.365
Pb 0.000 0.000 0.000
```

space-group type: F-43m, No. 216



Here is Li3CePr2Te6 after structural relaxation from Alexandria via LeMat-Bulk. Energies are from GGA-PBE.

```
12
Lattice="3.884 -6.728 0.000 3.884 6.728 0.000 -2.589 0.000 7.095" Properties=species:S:1:pos:R:3 pbc="T T T"
Li 0.000 0.000 0.000
Li 3.884 2.266 0.000
Li 3.884 -2.266 0.000
Ce 2.590 0.000 3.548
Pr 2.590 4.487 3.548
Pr 2.590 -4.487 3.548
Te 1.302 2.232 1.678
Te 0.014 0.000 5.414
Te 1.302 -2.232 1.678
Te 3.878 2.232 5.417
Te 5.166 0.000 1.681
Te 3.878 -2.232 5.417
```

space-group type: C2/m, No. 12



Here is CoSiN2 after structural relaxation from Alexandria via LeMat-Bulk. Energies are from GGA-PBE.

```
8
Lattice="-2.177 2.177 4.103 2.177 -2.177 4.103 2.177 2.177 -4.103" Properties=species:S:1:pos:R:3 pbc="T T T"
Co 0.000 0.000 0.000
Co 0.000 2.177 2.052
Si 2.177 0.000 2.052
Si 0.000 0.000 4.103
N 1.089 1.267 -1.026
N 3.087 1.089 1.026
N 1.089 0.910 3.077
N -0.910 1.089 5.129
```

space-group type: I-42d, No. 122



Number 1: uncorrected formation energy 0.5127 eV per atom. Number 2: uncorrected formation energy -1.2700 eV per atom. Number 3: uncorrected formation energy -0.3856 eV per atom.